CaMg2P | PBE-GGA | relaxed

Calculated values
size of the total moment = 0.00 μB per formula unit
N(E_F) = 0.4518 states/eV/atom
formation energy = -0.35 eV/atom
uncorrected energy = -11.99 eV for the cell shown

```
CaMg2P
1.0
3.616 0.000 0.000
0.000 3.616 0.000
0.000 0.000 6.924
Ca Mg P
1 2 1
Cartesian
0.000 0.000 0.000 Ca
0.000 0.000 3.994 Mg
1.808 1.808 2.334 Mg
1.808 1.808 5.120 P
```

ZnNi2As | PBE-GGA | relaxed

Calculated values
size of the total moment = 0.00 μB per formula unit
N(E_F) = 0.4062 states/eV/atom
formation energy = -0.14 eV/atom
uncorrected energy = -18.04 eV for the cell shown

```
ZnNi2As
1.0
4.283 -1.583 0.000
4.283 1.583 0.000
-1.104 0.000 3.826
Zn Ni As
1 2 1
Cartesian
0.000 0.000 0.000 Zn
3.789 0.000 1.921 Ni
6.187 0.000 0.551 Ni
1.340 0.000 2.418 As
```